No. 1
Pa2Ge2Pt: relaxed, PBE-GGA.

```
5
Lattice="3.786 0.000 0.000 0.000 2.052 6.765 0.000 -2.052 6.765" Properties=species:S:1:pos:R:3 pbc="T T T"
Pa 0.000 0.000 0.000
Pa 0.000 0.000 3.064
Ge 1.893 0.000 8.271
Ge 1.893 0.000 10.962
Pt 1.893 0.000 5.663
```

- crystal system = orthorhombic
- formation enthalpy at 0 K (eV/atom) = -0.66
- N(E_F) (states/eV/cell) = 5.2
- VASP energy (eV per atom) = -7.51
- space group = No. 38


No. 2
Pa2Ge3Pt: relaxed, PBE-GGA.

```
12
Lattice="0.000 4.179 7.619 3.899 0.000 7.619 3.899 4.179 0.000" Properties=species:S:1:pos:R:3 pbc="T T T"
Pa 5.866 4.179 7.619
Pa 1.949 2.089 3.810
Pa 5.848 6.268 11.429
Pa 1.931 4.179 7.619
Ge 3.899 4.179 2.505
Ge 3.899 2.130 6.361
Ge 3.899 2.130 8.878
Ge 3.899 6.228 6.361
Ge 3.899 6.228 8.878
Ge 3.899 4.179 12.734
Pt 3.899 4.179 4.972
Pt 3.899 4.179 10.266
```

- crystal system = orthorhombic
- formation enthalpy at 0 K (eV/atom) = -0.56
- N(E_F) (states/eV/cell) = 14.4
- VASP energy (eV per atom) = -7.04
- space group = No. 69


No. 3
PaGe2Pt2: relaxed, PBE-GGA.

```
10
Lattice="4.386 0.000 0.000 0.000 4.386 0.000 0.000 0.000 9.772" Properties=species:S:1:pos:R:3 pbc="T T T"
Pa 1.097 1.097 2.404
Pa 3.290 3.290 7.368
Ge 1.097 1.097 8.498
Ge 1.097 3.290 4.886
Ge 3.290 1.097 4.886
Ge 3.290 3.290 1.274
Pt 1.097 1.097 6.085
Pt 1.097 3.290 0.000
Pt 3.290 1.097 0.000
Pt 3.290 3.290 3.687
```

- crystal system = tetragonal
- formation enthalpy at 0 K (eV/atom) = -0.72
- N(E_F) (states/eV/cell) = 6.9
- VASP energy (eV per atom) = -6.88
- space group = No. 129


No. 4
Pa2Ge3Pt5: relaxed, PBE-GGA.

```
20
Lattice="2.130 -12.053 0.000 2.130 12.053 0.000 0.000 0.000 7.225" Properties=species:S:1:pos:R:3 pbc="T T T"
Pa 2.130 11.420 3.613
Pa 2.130 4.301 3.116
Pa 2.130 -4.301 6.729
Pa 2.130 -11.420 0.000
Ge 2.130 9.389 1.185
Ge 2.130 5.164 6.576
Ge 2.130 1.100 2.404
Ge 2.130 -1.100 6.016
Ge 2.130 -5.164 2.963
Ge 2.130 -9.389 4.798
Pt 2.130 9.542 5.756
Pt 2.130 7.104 4.549
Pt 2.130 6.813 1.432
Pt 2.130 2.703 0.244
Pt 2.130 1.282 5.040
Pt 2.130 -1.282 1.427
Pt 2.130 -2.703 3.856
Pt 2.130 -6.813 5.045
Pt 2.130 -7.104 0.937
Pt 2.130 -9.542 2.143
```

- crystal system = orthorhombic
- formation enthalpy at 0 K (eV/atom) = -0.77
- N(E_F) (states/eV/cell) = 11.7
- VASP energy (eV per atom) = -7.07
- space group = No. 36
- polymorph energy (0 for the lowest one) (meV/atom) = 0


No. 5
PaGe2Pt: relaxed, PBE-GGA.

```
4
Lattice="2.520 1.455 3.556 -2.520 1.455 3.556 0.000 -2.910 3.556" Properties=species:S:1:pos:R:3 pbc="T T T"
Pa 0.000 0.000 0.000
Ge 0.000 0.000 2.816
Ge 0.000 0.000 7.852
Pt 0.000 0.000 5.334
```

- crystal system = trigonal
- formation enthalpy at 0 K (eV/atom) = -0.34
- N(E_F) (states/eV/cell) = 4.6
- VASP energy (eV per atom) = -6.53
- space group = No. 166


No. 6
Pa2GePt: relaxed, PBE-GGA.

```
4
Lattice="4.430 0.000 0.000 0.000 4.430 0.000 0.000 0.000 4.265" Properties=species:S:1:pos:R:3 pbc="T T T"
Pa 0.000 2.215 0.000
Pa 2.215 0.000 0.000
Ge 0.000 0.000 2.133
Pt 2.215 2.215 2.133
```

- crystal system = tetragonal
- formation enthalpy at 0 K (eV/atom) = -0.57
- N(E_F) (states/eV/cell) = 5.6
- VASP energy (eV per atom) = -7.98
- space group = No. 123
- polymorph energy (0 for the lowest one) (meV/atom) = 119


No. 7
Pa2Ge5Pt3: relaxed, PBE-GGA.

```
20
Lattice="2.166 -11.840 0.000 2.166 11.840 0.000 0.000 0.000 7.479" Properties=species:S:1:pos:R:3 pbc="T T T"
Pa 2.166 11.258 3.740
Pa 2.166 4.088 3.778
Pa 2.166 -4.088 0.039
Pa 2.166 -11.258 0.000
Ge 2.166 9.403 6.194
Ge 2.166 7.112 2.662
Ge 2.166 6.489 5.749
Ge 2.166 2.736 0.392
Ge 2.166 1.232 5.122
Ge 2.166 -1.232 1.383
Ge 2.166 -2.736 4.131
Ge 2.166 -6.489 2.010
Ge 2.166 -7.112 6.402
Ge 2.166 -9.403 2.454
Pt 2.166 9.295 1.534
Pt 2.166 5.229 0.614
Pt 2.166 1.039 2.518
Pt 2.166 -1.039 6.258
Pt 2.166 -5.229 4.354
Pt 2.166 -9.295 5.274
```

- crystal system = orthorhombic
- formation enthalpy at 0 K (eV/atom) = -0.59
- N(E_F) (states/eV/cell) = 15.7
- VASP energy (eV per atom) = -6.61
- space group = No. 36


No. 8
PaGe2Pt4: relaxed, PBE-GGA.

```
28
Lattice="16.503 0.000 0.000 0.000 4.048 0.000 0.000 0.000 7.588" Properties=species:S:1:pos:R:3 pbc="T T T"
Pa 2.490 1.012 0.617
Pa 5.761 3.036 4.411
Pa 10.742 1.012 3.176
Pa 14.013 3.036 6.970
Ge 0.061 3.036 1.956
Ge 3.054 1.012 4.656
Ge 5.198 3.036 0.862
Ge 8.190 1.012 5.750
Ge 8.313 3.036 1.838
Ge 11.305 1.012 6.726
Ge 13.450 3.036 2.932
Ge 16.442 1.012 5.632
Pt 0.778 3.036 6.994
Pt 0.900 1.012 3.221
Pt 2.850 3.036 2.801
Pt 3.458 3.036 6.264
Pt 4.794 1.012 2.470
Pt 5.402 1.012 6.595
Pt 7.352 3.036 7.015
Pt 7.474 1.012 3.200
Pt 9.030 3.036 4.388
Pt 9.151 1.012 0.572
Pt 11.101 3.036 0.993
Pt 11.710 3.036 5.118
Pt 13.045 1.012 1.324
Pt 13.653 1.012 4.787
Pt 15.604 3.036 4.366
Pt 15.725 1.012 0.594
```

- crystal system = orthorhombic
- formation enthalpy at 0 K (eV/atom) = -0.67
- N(E_F) (states/eV/cell) = 16.1
- VASP energy (eV per atom) = -6.80
- space group = No. 62


> What is the N(E_F) in the fifth record?

4.6 states/eV/cell